# 1
## CaAsSe2Cl (PBE-GGA)

Data for a relaxed CaAsSe2Cl crystal.

Energy relative to the lowest polymorph listed for this composition (kJ/mol of atoms): 29.0
Raw formation energy (kJ per mole of atoms): 35.8
VASP energy (eV/cell): -13.6

Unit cell a=5.3485 b=5.3485 c=5.7476 alpha=90.00 beta=90.00 gamma=90.00
Atoms (fractional coordinates):
Se1 0.0000 0.5000 0.0000
Se2 0.5000 0.0000 0.0000
As1 0.0000 0.0000 0.5000
Cl1 0.5000 0.5000 0.5000
Ca1 0.0000 0.0000 0.0000

=====

# 2
## Ca4Te2AsCl (PBE-GGA)

Data for a relaxed Ca4Te2AsCl crystal.

Raw formation energy (kJ per mole of atoms): -156.5
VASP energy (eV/cell): -33.8

Unit cell a=4.4041 b=7.5754 c=7.5246 alpha=71.29 beta=90.00 gamma=90.00
Atoms (fractional coordinates):
Cl1 0.5000 0.5000 0.0000
Ca1 0.0000 0.7415 0.7340
Ca2 0.0000 0.2585 0.2660
Ca3 0.5000 0.7278 0.2692
Ca4 0.5000 0.2722 0.7308
Te1 0.5000 0.0000 0.5000
Te2 0.0000 0.0000 0.0000
As1 0.0000 0.5000 0.5000

=====

# 3
## CaTl2AsCl6 (PBE-GGA)

Data for a relaxed CaTl2AsCl6 crystal.

Raw formation energy (kJ per mole of atoms): -110.3
VASP energy (eV/cell): -33.9

Unit cell a=7.3299 b=7.3335 c=7.8827 alpha=62.26 beta=62.28 gamma=90.00
Atoms (fractional coordinates):
Cl1 0.7395 0.7387 0.0000
Cl2 0.2610 0.7393 0.0000
Cl3 0.2605 0.2613 0.0000
Cl4 0.7389 0.2607 0.0000
Cl5 0.2257 0.2257 0.5487
Cl6 0.7743 0.7743 0.4513
Ca1 0.0000 0.0000 0.0000
Tl1 0.7505 0.2504 0.4992
Tl2 0.2495 0.7496 0.5008
As1 0.5000 0.5000 0.0000

=====

# 4
## CaTlAsCl6 (PBE-GGA)

Data for a relaxed CaTlAsCl6 crystal.

Raw formation energy (kJ per mole of atoms): -127.8
VASP energy (eV/cell): -32.0

Unit cell a=6.9052 b=6.9053 c=7.0123 alpha=90.00 beta=90.00 gamma=60.00
Atoms (fractional coordinates):
Tl1 0.0000 0.0000 0.0000
Cl1 0.6194 0.0248 0.2901
Cl2 0.3558 0.0248 0.7099
Cl3 0.3558 0.6194 0.2901
Cl4 0.0248 0.3558 0.2901
Cl5 0.0248 0.6194 0.7099
Cl6 0.6194 0.3558 0.7099
As1 0.3333 0.3333 0.5000
Ca1 0.6666 0.6667 0.5000

=====

# 5
## CaZn2AsCl (PBE-GGA)

Data for a relaxed CaZn2AsCl crystal.

Raw formation energy (kJ per mole of atoms): 16.5
VASP energy (eV/cell): -10.2

Unit cell a=4.9871 b=5.2087 c=4.9871 alpha=90.00 beta=90.00 gamma=90.00
Atoms (fractional coordinates):
Zn1 0.5000 0.0000 0.0000
Zn2 0.0000 0.0000 0.5000
Ca1 0.5000 0.5000 0.5000
As1 0.0000 0.5000 0.0000
Cl1 0.0000 0.0000 0.0000

=====

# 6
## CaZnAsCl (PBE-GGA)

Data for a relaxed CaZnAsCl crystal.

Raw formation energy (kJ per mole of atoms): -125.6
VASP energy (eV/cell): -30.0

Unit cell a=4.1780 b=4.1780 c=13.4098 alpha=81.04 beta=81.04 gamma=60.00
Atoms (fractional coordinates):
Cl1 0.7092 0.7092 0.8723
Cl2 0.2908 0.2908 0.1277
Ca1 0.4103 0.4103 0.7692
Ca2 0.5897 0.5897 0.2308
As1 0.8765 0.8765 0.3704
As2 0.1235 0.1235 0.6296
Zn1 0.1898 0.1898 0.4307
Zn2 0.8102 0.8102 0.5693

=====

# 7
## Ca4CoAs (PBE-GGA)

Data for a relaxed Ca4CoAs crystal.

VASP energy (eV/cell): -15.8

Unit cell a=6.2806 b=6.2806 c=6.2806 alpha=60.00 beta=60.00 gamma=60.00
Atoms (fractional coordinates):
As1 0.0000 0.0000 0.0000
Ca1 0.3750 0.3750 0.8750
Ca2 0.8750 0.3750 0.3750
Ca3 0.3750 0.3750 0.3750
Ca4 0.3750 0.8750 0.3750
Co1 0.7500 0.7500 0.7500

=====

# 8
## CaCoAs2 (PBE-GGA)

Data for a relaxed CaCoAs2 crystal.

VASP energy (eV/cell): -18.9

Unit cell a=4.6608 b=4.6608 c=4.6608 alpha=60.00 beta=60.00 gamma=60.00
Atoms (fractional coordinates):
As1 0.2500 0.2500 0.2500
As2 0.7500 0.7500 0.7500
Co1 0.5000 0.5000 0.5000
Ca1 0.0000 0.0000 0.0000